1.
Density functional theory data (PBE) for a relaxed structure of TaNb3Se.

Polymorph energy (0 for the lowest one), eV/atom: 0.000
Crystal system: cubic
D(E_F), states/eV/atom: 0.8374
Raw formation energy, eV per formula unit: 3.57

Lattice parameters (Å, degrees): 4.7055 4.7055 4.7055 90.00 90.00 90.00
With the nearest neighbours (Å) after each atom.
Sites, in units of the cell vectors:
Nb  0.0000  0.5000  0.0000  2 Se 2.35
Nb  0.0000  0.0000  0.5000  2 Se 2.35
Nb  0.5000  0.0000  0.0000  2 Se 2.35
Se  0.0000  0.0000  0.0000  6 Nb 2.35
Ta  0.5000  0.5000  0.5000  12 Nb 3.33

2.
Density functional theory data (PBE) for a relaxed structure of Mn2W.

Polymorph energy (0 for the lowest one), eV/atom: 0.237
Crystal system: trigonal
D(E_F), states/eV/atom: 1.6440
E_form, eV/atom: 0.155

Lattice parameters (Å, degrees): 4.1679 4.1679 2.6100 90.00 90.00 120.00
With the nearest neighbours (Å) after each atom.
Sites, in units of the cell vectors:
Mn  0.6667  0.3333  0.6870  3 W 2.54, 5 Mn 2.60-2.61
Mn  0.3333  0.6667  0.3130  3 W 2.54, 5 Mn 2.60-2.61
W  0.0000  0.0000  0.0000  6 Mn 2.54, 2 W 2.61

3.
Density functional theory data (PBE) for a relaxed structure of LiCuSe.

Crystal system: orthorhombic
Raw formation energy, eV per formula unit: -1.30

Lattice parameters (Å, degrees): 4.8668 4.2876 3.8746 73.01 57.41 49.59
With the nearest neighbours (Å) after each atom.
Sites, in units of the cell vectors:
Se  0.3313  0.3313  0.6687  3 Cu 2.43-2.53, 3 Li 2.47-2.51
Cu  0.0009  0.0009  0.9991  3 Se 2.43-2.53, 3 Li 2.45-2.52
Li  0.6677  0.6677  0.3323  3 Cu 2.45-2.52, 3 Se 2.47-2.51

Number 1: calculated volume 104.2 Å³/f.u.. Number 2: calculated volume 39.3 Å³/f.u.. Number 3: calculated volume 51.7 Å³/f.u..